The following is a DFT calculation (PBE-GGA) of a geometry-optimized Zr5O2 structure.

abc: 5.689 6.166 8.645
angles: 119.92 109.21 90.00
Fractional coordinates of all 14 atoms:
Zr  0.592  0.250  0.000
O  0.897  0.503  0.301
O  0.596  0.997  0.699
Zr  0.979  0.248  0.795
Zr  0.184  0.252  0.205
Zr  0.782  0.249  0.400
Zr  0.617  0.749  0.400
Zr  0.408  0.750  0.000
Zr  0.816  0.748  0.795
O  0.103  0.497  0.699
Zr  0.021  0.752  0.205
Zr  0.218  0.751  0.600
Zr  0.383  0.251  0.600
O  0.404  0.003  0.301

Summary:
D(E_F) = 5.501 states/eV/cell
theoretical density = 6.667 g/cm3
uncorrected formation energy = -1.544 eV/atom
calculated volume = 243 Å³/cell
SG = C2/c, No. 15
crystal system = monoclinic